# K2ZrPAu

Crystalline K2ZrPAu at its relaxed geometry (PBE, the Alexandria database).

abc: 6.4273 6.4273 4.4893
angles: 90.00 90.00 90.00
Space group P4/mmm (No. 123)
Unique sites:
1 K 0.0000 0.5000 0.0000 (multiplicity 2)
2 Zr 0.0000 0.0000 0.5000 (multiplicity 1)
3 P 0.5000 0.5000 0.5000 (multiplicity 1)
4 Au 0.5000 0.5000 0.0000 (multiplicity 1)

Values from the calculation:
Density   3.6 g/cm³
E   -15.81 eV for the cell shown